No. 1
Er2AlGa after structural relaxation, computed with PBE.

It has space group Amm2 (No. 38), with a = 4.034 Å, b = 4.369 Å, c = 10.892 Å, α = 90.00°, β = 90.00° and γ = 90.00°. The asymmetric unit holds Er at (0.000, 0.000, 0.000), Er at (0.500, 0.000, 0.280), Al at (0.500, 0.000, 0.568) and Ga at (0.000, 0.000, 0.720).

The magnetization is 0.00 μB/cell. For the calculated total energy, the calculation gives -4.481 eV per atom. For the density of states at the Fermi level, the calculation gives 6.2 states/eV/cell. The formation energy comes out at -48.9 kJ per mole of atoms.

No. 2
VHPt2 after structural relaxation, computed with PBE.

It has space group Fm-3m (No. 225), with a = 5.930 Å, b = 5.930 Å, c = 5.930 Å, α = 90.00°, β = 90.00° and γ = 90.00°. The asymmetric unit holds V at (0.000, 0.000, 0.000), H at (0.000, 0.000, 0.500) and Pt at (0.250, 0.250, 0.250).

The magnetization is 5.87 μB/cell. The energy relative to the lowest polymorph listed for this composition comes out at 378 meV per atom. For the calculated total energy, the calculation gives -5.907 eV per atom. For the density of states at the Fermi level, the calculation gives 19.7 states/eV/cell.

No. 3
Li3Sc2Au4 after structural relaxation, computed with PBE.

It has space group C2/m (No. 12), with a = 8.748 Å, b = 4.275 Å, c = 8.582 Å, α = 90.00°, β = 103.56° and γ = 90.00°. The asymmetric unit holds Li at (0.000, 0.000, 0.000), Li at (0.143, 0.500, 0.556), Sc at (0.195, 0.500, 0.222), Au at (0.040, 0.000, 0.345) and Au at (0.139, 0.500, 0.884).

The magnetization is 0.00 μB/cell. For the calculated total energy, the calculation gives -4.095 eV per atom. For the density of states at the Fermi level, the calculation gives 8.2 states/eV/cell. The formation energy comes out at -57.3 kJ per mole of atoms.

No. 4
PmZrAu after structural relaxation, computed with PBE.

It has space group P-6m2 (No. 187), with a = 4.6643 Å, b = 4.6643 Å, c = 4.2146 Å, α = 90.00°, β = 90.00° and γ = 120.00°. The asymmetric unit holds Pm at (0.0000, 0.0000, 0.0000), Zr at (0.3333, 0.6667, 0.5000) and Au at (0.6667, 0.3333, 0.5000).

The magnetization is 0.00 μB/cell. The energy relative to the lowest polymorph listed for this composition comes out at 116 meV per atom. For the calculated total energy, the calculation gives -5.782 eV per atom. For the density of states at the Fermi level, the calculation gives 2.6 states/eV/cell. The formation energy comes out at -24.8 kJ per mole of atoms.

No. 5
IrSe2Cl after structural relaxation, computed with PBE.

It has space group Cmmm (No. 65), with a = 5.249 Å, b = 8.867 Å, c = 3.107 Å, α = 90.00°, β = 90.00° and γ = 90.00°. The asymmetric unit holds Ir at (0.000, 0.000, 0.000), Se at (0.250, 0.250, 0.500) and Cl at (0.000, 0.500, 0.000).

The magnetization is 0.00 μB/cell. The energy relative to the lowest polymorph listed for this composition comes out at 1049 meV per atom. For the calculated total energy, the calculation gives -3.628 eV per atom. For the density of states at the Fermi level, the calculation gives 7.6 states/eV/cell. The calculation puts the formation energy from raw total energies at 0.7913 eV/atom.

No. 6
BeAs2Ru after structural relaxation, computed with PBE.

It has space group I-42d (No. 122), with a = 5.285 Å, b = 5.285 Å, c = 11.056 Å, α = 90.00°, β = 90.00° and γ = 90.00°. The asymmetric unit holds Be at (0.000, 0.000, 0.000), As at (0.232, 0.250, 0.125) and Ru at (0.000, 0.000, 0.500).

The magnetization is 0.00 μB/cell. For the calculated total energy, the calculation gives -5.438 eV per atom. For the density of states at the Fermi level, the calculation gives 4.2 states/eV/cell. The formation energy comes out at 13.2 kJ per mole of atoms.

No. 7
MnZnNiAg after structural relaxation, computed with PBE.

It has space group F-43m (No. 216), with a = 6.105 Å, b = 6.105 Å, c = 6.105 Å, α = 90.00°, β = 90.00° and γ = 90.00°. The asymmetric unit holds Mn at (0.000, 0.000, 0.000), Zn at (0.000, 0.000, 0.500), Ni at (0.250, 0.250, 0.750) and Ag at (0.250, 0.250, 0.250).

The magnetization is 15.50 μB/cell. For the calculated total energy, the calculation gives -4.694 eV per atom. For the density of states at the Fermi level, the calculation gives 7.2 states/eV/cell. The formation energy comes out at 7.2 kJ per mole of atoms.

No. 8
As2Ru2Au after structural relaxation, computed with PBE.

It has space group I4/mmm (No. 139), with a = 3.858 Å, b = 3.858 Å, c = 11.404 Å, α = 90.00°, β = 90.00° and γ = 90.00°. The asymmetric unit holds As at (0.000, 0.500, 0.250), Ru at (0.000, 0.000, 0.118) and Au at (0.000, 0.000, 0.500).

The magnetization is 0.00 μB/cell. The energy relative to the lowest polymorph listed for this composition comes out at 83 meV per atom. For the calculated total energy, the calculation gives -6.141 eV per atom. For the density of states at the Fermi level, the calculation gives 4.2 states/eV/cell. The formation energy comes out at 8.2 kJ per mole of atoms.

No. 9
TcAsPt2 after structural relaxation, computed with PBE.

It has space group R3m (No. 160, hexagonal axes), with a = 2.8849 Å, b = 2.8849 Å, c = 25.9263 Å, α = 90.00°, β = 90.00° and γ = 120.00°. The asymmetric unit holds Tc at (0.0000, 0.0000, 0.0000), As at (0.0000, 0.0000, 0.7407), Pt at (0.0000, 0.0000, 0.2492) and Pt at (0.0000, 0.0000, 0.4919).

The magnetization is 0.00 μB/cell. For the calculated total energy, the calculation gives -6.770 eV per atom. For the density of states at the Fermi level, the calculation gives 14.2 states/eV/cell. The formation energy comes out at 0.4 kJ per mole of atoms.

No. 10
Pr3DyIn after structural relaxation, computed with PBE.

It has space group P-1 (No. 2), with a = 6.106 Å, b = 7.013 Å, c = 8.128 Å, α = 78.69°, β = 72.54° and γ = 76.92°. The asymmetric unit holds Pr at (0.085, 0.395, 0.303), Pr at (0.121, 0.902, 0.285), Pr at (0.313, 0.706, 0.905), Dy at (0.500, 0.000, 0.500), Dy at (0.500, 0.500, 0.500) and In at (0.282, 0.217, 0.887).

The magnetization is 0.00 μB/cell. The energy relative to the lowest polymorph listed for this composition comes out at 33 meV per atom. For the calculated total energy, the calculation gives -4.490 eV per atom. For the density of states at the Fermi level, the calculation gives 12.2 states/eV/cell. The formation energy comes out at -14.9 kJ per mole of atoms.

No. 11
Cd2SbO after structural relaxation, computed with PBE.

It has space group Fm-3m (No. 225), with a = 6.863 Å, b = 6.863 Å, c = 6.863 Å, α = 90.00°, β = 90.00° and γ = 90.00°. The asymmetric unit holds Cd at (0.250, 0.250, 0.250), Sb at (0.000, 0.000, 0.000) and O at (0.000, 0.000, 0.500).

The magnetization is 0.00 μB/cell. The energy relative to the lowest polymorph listed for this composition comes out at 673 meV per atom. For the calculated total energy, the calculation gives -2.487 eV per atom. For the density of states at the Fermi level, the calculation gives 27.8 states/eV/cell. The calculation puts the formation energy from raw total energies at 0.2410 eV/atom.

No. 12
Ca2Tl2S after structural relaxation, computed with PBE.

It has space group P4/mbm (No. 127), with a = 7.441 Å, b = 7.441 Å, c = 5.541 Å, α = 90.00°, β = 90.00° and γ = 90.00°. The asymmetric unit holds Ca at (0.182, 0.318, 0.000), Tl at (0.142, 0.642, 0.500) and S at (0.000, 0.000, 0.000).

The magnetization is 0.00 μB/cell. For the calculated total energy, the calculation gives -3.262 eV per atom. For the density of states at the Fermi level, the calculation gives 5.2 states/eV/cell. The calculation puts the formation energy from raw total energies at -0.6895 eV/atom.

Q: calculated total energy of number 11 (Cd2SbO)?
A: -2.487 eV per atom

Please write out number 1 again, unchanged.
Er2AlGa after structural relaxation, computed with PBE.

It has space group Amm2 (No. 38), with a = 4.034 Å, b = 4.369 Å, c = 10.892 Å, α = 90.00°, β = 90.00° and γ = 90.00°. The asymmetric unit holds Er at (0.000, 0.000, 0.000), Er at (0.500, 0.000, 0.280), Al at (0.500, 0.000, 0.568) and Ga at (0.000, 0.000, 0.720).

The magnetization is 0.00 μB/cell. For the calculated total energy, the calculation gives -4.481 eV per atom. For the density of states at the Fermi level, the calculation gives 6.2 states/eV/cell. The formation energy comes out at -48.9 kJ per mole of atoms.